1.
Crystalline Dy2Si2O5 at its relaxed geometry, computed with PBE.

Properties
spin magnetization	0.00	μB per cell

Cell lengths 9.4368, 3.4777, 3.4777 Å; angles 90.00, 90.00, 90.00 degrees
Last column: nearest neighbours and their distance in Å.
Positions (direct):
O: 0.5000 0.5000 0.5000  2 Dy 2.31, 4 Si 2.46
Si: 0.0000 0.0000 0.0000  8 O 2.07
Dy: 0.2557 0.5000 0.5000  5 O 2.16-2.31
O: 0.1197 0.0000 0.5000  2 Si 2.07, 2 Dy 2.16, 1 O 2.26
O: 0.1197 0.5000 0.0000  2 Si 2.07, 2 Dy 2.16, 1 O 2.26
Si: 0.5000 0.0000 0.0000  4 O 2.46
O: 0.8803 0.0000 0.5000  2 Si 2.07, 2 Dy 2.16, 1 O 2.26
O: 0.8803 0.5000 0.0000  2 Si 2.07, 2 Dy 2.16, 1 O 2.26
Dy: 0.7443 0.5000 0.5000  5 O 2.16-2.31

---

2.
Crystalline Dy4SiO3 at its relaxed geometry, computed with PBE.

Properties
spin magnetization	0.01	μB per cell

Cell lengths 6.1969, 6.1969, 6.1969 Å; angles 130.98, 130.98, 71.84 degrees
Last column: nearest neighbours and their distance in Å.
Positions (direct):
Si: 0.0000 0.0000 0.0000  6 Dy 2.57-2.67
O: 0.2500 0.7500 0.5000  6 Dy 2.51-2.58
Dy: 0.7343 0.7343 0.0000  5 O 2.35-2.58
Dy: 0.2657 0.2657 0.0000  5 O 2.35-2.58
O: 0.7500 0.2500 0.5000  6 Dy 2.51-2.58
Dy: 0.0000 0.5000 0.5000  4 O 2.51-2.57, 2 Si 2.57
Dy: 0.5000 0.0000 0.5000  4 O 2.51-2.57, 2 Si 2.57
O: 0.5000 0.5000 0.0000  6 Dy 2.35-2.57

---

3.
Crystalline Dy2Si2O5 at its relaxed geometry, computed with PBE.

Properties
spin magnetization	0.01	μB per cell

Cell lengths 6.4287, 3.8896, 3.8896 Å; angles 90.00, 90.00, 90.00 degrees
Last column: nearest neighbours and their distance in Å.
Positions (direct):
O: 0.7597 0.5000 0.0000  2 Si 1.95
O: 0.5000 0.5000 0.5000  2 Si 1.78
O: 0.2403 0.0000 0.5000  2 Si 1.95
O: 0.2403 0.5000 0.0000  2 Si 1.95
Si: 0.2231 0.5000 0.5000  5 O 1.78-1.95
Dy: 0.0000 0.0000 0.0000  8 O 2.48
Dy: 0.5000 0.0000 0.0000  12 O 2.56-2.75
Si: 0.7769 0.5000 0.5000  5 O 1.78-1.95
O: 0.7597 0.0000 0.5000  2 Si 1.95

---

4.
Crystalline Dy2SiO4 at its relaxed geometry, computed with PBE.

Properties
spin magnetization	0.00	μB per cell

Cell lengths 6.5434, 5.4482, 9.8652 Å; angles 90.00, 90.00, 90.00 degrees
Last column: nearest neighbours and their distance in Å.
Positions (direct):
O: 0.8081 0.0035 0.1298  1 Si 1.69
O: 0.6919 0.5035 0.6298  1 Si 1.69
Dy: 0.8896 0.7500 0.9529  6 O 2.29-2.53
Si: 0.8404 0.7500 0.6639  3 O 1.69
Dy: 0.5303 0.2500 0.8119  2 O 2.17-2.26
Si: 0.3404 0.7500 0.8361  3 O 1.69
Dy: 0.3896 0.7500 0.5471  6 O 2.29-2.53
O: 0.1919 0.5035 0.8702  1 Si 1.69
O: 0.8081 0.4965 0.1298  1 Si 1.69
Dy: 0.1104 0.2500 0.0471  6 O 2.29-2.53
O: 0.1552 0.7500 0.1189  3 Dy 2.17-2.39
O: 0.6919 0.9965 0.6298  1 Si 1.69
Dy: 0.0303 0.2500 0.6881  2 O 2.17-2.26
Dy: 0.9697 0.7500 0.3119  2 O 2.17-2.26
O: 0.1919 0.9965 0.8702  1 Si 1.69
O: 0.3081 0.4965 0.3702  1 Si 1.69
O: 0.3448 0.2500 0.6189  3 Dy 2.17-2.39
O: 0.4619 0.2500 0.0543  1 Si 1.69
O: 0.0381 0.7500 0.5543  1 Si 1.69
Dy: 0.6104 0.2500 0.4529  6 O 2.29-2.53
O: 0.6552 0.7500 0.3811  3 Dy 2.17-2.39
Dy: 0.4697 0.7500 0.1881  2 O 2.17-2.26
O: 0.5381 0.7500 0.9457  1 Si 1.69
O: 0.3081 0.0035 0.3702  1 Si 1.69
O: 0.8448 0.2500 0.8811  3 Dy 2.17-2.39
Si: 0.1596 0.2500 0.3361  3 O 1.69
Si: 0.6596 0.2500 0.1639  3 O 1.69
O: 0.9619 0.2500 0.4457  1 Si 1.69

---

no.,E (eV/atom)
1,-6.899
2,-6.971
3,-7.168
4,-7.828